Entry from Alexandria: Ce2ErMgIn4 after structural relaxation (PBE).

Properties
- Theoretical density: 7.2 Mg/m³
- Energy of formation from the pure elements: -0.344 eV/atom
- Spin magnetization: 1.8 μB per formula unit
- E_tot: -95.20 eV for the cell shown

```
data_Ce2ErMgIn4
_chemical_formula_sum 'Ce6 Er3 Mg3 In12'
_symmetry_space_group_name_H-M 'R -3 m'
_symmetry_Int_Tables_number 166
_symmetry_space_group_name_Hall '-R 3 2"'
_cell_length_a 5.2816
_cell_length_b 5.2816
_cell_length_c 26.5323
_cell_angle_alpha 90.00
_cell_angle_beta 90.00
_cell_angle_gamma 120.00
loop_
_atom_site_label
_atom_site_type_symbol
_atom_site_fract_x
_atom_site_fract_y
_atom_site_fract_z
_atom_site_occupancy
Ce1 Ce 0.0000 0.0000 0.2439 1
Er1 Er 0.0000 0.0000 0.0000 1
Mg1 Mg 0.0000 0.0000 0.5000 1
In1 In 0.0000 0.0000 0.1234 1
In2 In 0.0000 0.0000 0.3744 1
```